This record from the Alexandria database describes a relaxed TmSi3Os2 crystal. The functional is PBE-GGA.

Structure (extended XYZ):
```
12
Lattice="2.075 -5.791 0.000 2.075 5.791 0.000 0.000 0.000 8.260" Properties=species:S:1:pos:R:3 pbc="T T T"
Tm 2.075 3.619 6.195
Tm 2.075 -3.619 2.065
Si 2.075 4.247 2.065
Si 2.075 1.371 0.216
Si 2.075 1.371 3.914
Si 2.075 -1.371 4.346
Si 2.075 -1.371 8.044
Si 2.075 -4.247 6.195
Os 0.000 0.000 0.000
Os 0.000 0.000 4.130
Os 2.075 0.402 6.195
Os 2.075 -0.402 2.065
```

Properties
VASP energy: -7.670 eV per atom
SG: Cmcm, No. 63
magnetic moment: 0.0 μB/cell
uncorrected formation energy: -2.821 eV per formula unit
Fermi-level density of states: 0.32 states/eV/atom